# 1
A crystal of ZrZnCr relaxed with PBEsol. Source: the Alexandria database, functional SCAN.

For the calculated formation energy, the calculation gives 321 meV/atom. The volume comes out at 18.16 A^3/atom. The density of states at the Fermi level comes out at 2.188 states/eV/f.u.

Cell lengths 4.2549, 4.2549, 4.2549 Å; angles 60.00, 60.00, 60.00 degrees
Fractional positions:
Zr 0.0000 0.0000 0.0000
Zn 0.7500 0.7500 0.7500
Cr 0.5000 0.5000 0.5000

# 2
A crystal of AlCrGe relaxed with PBEsol. Source: the Alexandria database, functional SCAN.

For the calculated formation energy, the calculation gives -123 meV/atom. The volume comes out at 13.49 A^3/atom. The density of states at the Fermi level comes out at 0.978 states/eV/f.u.

Cell lengths 5.8695, 4.8639, 4.6760 Å; angles 75.91, 53.49, 50.60 degrees
Fractional positions:
Al 0.1721 0.8279 0.1721
Al 0.8279 0.1721 0.8279
Cr 0.5000 0.5000 0.5000
Cr 0.7500 0.7500 0.7500
Ge 0.0801 0.4199 0.0801
Ge 0.4199 0.0801 0.4199

# 3
A crystal of YTaTl2 relaxed with PBEsol. Source: the Alexandria database, functional SCAN.

For the calculated formation energy, the calculation gives 170 meV/atom. The volume comes out at 22.86 A^3/atom. The density of states at the Fermi level comes out at 3.199 states/eV/f.u.

Cell lengths 5.2900, 5.2900, 5.7966 Å; angles 98.40, 98.40, 34.77 degrees
Fractional positions:
Y 0.0000 0.0000 0.0000
Ta 0.5000 0.5000 0.5000
Tl 0.2448 0.2448 0.7311
Tl 0.7552 0.7552 0.2689

# 4
A crystal of InNi relaxed with PBEsol. Source: the Alexandria database, functional SCAN.

For the calculated formation energy, the calculation gives 113 meV/atom. The volume comes out at 16.00 A^3/atom. The density of states at the Fermi level comes out at 1.128 states/eV/f.u.

Cell lengths 3.0742, 3.0742, 6.7714 Å; angles 90.00, 90.00, 90.00 degrees
Fractional positions:
In 0.2500 0.2500 0.1891
In 0.7500 0.7500 0.8109
Ni 0.2500 0.2500 0.5935
Ni 0.7500 0.7500 0.4065

# 5
A crystal of ZnIn2Ir relaxed with PBEsol. Source: the Alexandria database, functional SCAN.

For the calculated formation energy, the calculation gives 128 meV/atom. The volume comes out at 17.38 A^3/atom. The density of states at the Fermi level comes out at 1.471 states/eV/f.u.

Cell lengths 4.6151, 4.6151, 4.6151 Å; angles 60.00, 60.00, 60.00 degrees
Fractional positions:
Zn 0.0000 0.0000 0.0000
In 0.2500 0.2500 0.2500
In 0.7500 0.7500 0.7500
Ir 0.5000 0.5000 0.5000

# 6
A crystal of YPt2Au relaxed with PBEsol. Source: the Alexandria database, functional SCAN.

For the calculated formation energy, the calculation gives -964 meV/atom. The volume comes out at 17.55 A^3/atom. The density of states at the Fermi level comes out at 1.260 states/eV/f.u.

Cell lengths 5.0319, 5.0319, 5.0319 Å; angles 131.39, 131.39, 71.19 degrees
Fractional positions:
Y 0.0000 0.0000 0.0000
Pt 0.2500 0.7500 0.5000
Pt 0.7500 0.2500 0.5000
Au 0.5000 0.5000 0.0000

# 7
A crystal of ZrOs relaxed with PBEsol. Source: the Alexandria database, functional SCAN.

For the calculated formation energy, the calculation gives -199 meV/atom. The volume comes out at 16.63 A^3/atom. The density of states at the Fermi level comes out at 1.962 states/eV/f.u.

Cell lengths 4.5479, 4.5479, 4.5479 Å; angles 60.00, 60.00, 60.00 degrees
Fractional positions:
Zr 0.1250 0.1250 0.1250
Zr 0.8750 0.8750 0.8750
Os 0.3750 0.3750 0.3750
Os 0.6250 0.6250 0.6250

# 8
A crystal of LiB2H3O5 relaxed with PBEsol. Source: the Alexandria database, functional SCAN.

The volume comes out at 8.90 A^3/atom. The density of states at the Fermi level comes out at 0.000 states/eV/f.u. The calculation puts the total DFT energy (no corrections) at -7.33 eV per atom.

Cell lengths 9.7089, 8.3220, 9.6935 Å; angles 90.00, 90.00, 90.00 degrees
Fractional positions:
Li 0.0528 0.0253 0.1671
Li 0.0528 0.4747 0.3329
Li 0.4472 0.5253 0.3329
Li 0.4472 0.9747 0.1671
Li 0.5528 0.0253 0.8329
Li 0.5528 0.4747 0.6671
Li 0.9472 0.5253 0.6671
Li 0.9472 0.9747 0.8329
B 0.0926 0.7262 0.0390
B 0.0926 0.7738 0.4610
B 0.2336 0.7500 0.2500
B 0.2500 0.0000 0.3934
B 0.2500 0.5000 0.1066
B 0.2664 0.2500 0.2500
B 0.4074 0.2262 0.4610
B 0.4074 0.2738 0.0390
B 0.5926 0.7262 0.9610
B 0.5926 0.7738 0.5390
B 0.7336 0.7500 0.7500
B 0.7500 0.0000 0.6066
B 0.7500 0.5000 0.8934
B 0.7664 0.2500 0.7500
B 0.9074 0.2262 0.5390
B 0.9074 0.2738 0.9610
H 0.0683 0.2086 0.4018
H 0.0683 0.2914 0.0982
H 0.1225 0.5032 0.8671
H 0.1225 0.9968 0.6329
H 0.1862 0.0935 0.7598
H 0.1862 0.4065 0.7402
H 0.3138 0.5935 0.7402
H 0.3138 0.9065 0.7598
H 0.3775 0.0032 0.6329
H 0.3775 0.4968 0.8671
H 0.4317 0.7086 0.0982
H 0.4317 0.7914 0.4018
H 0.5683 0.2086 0.5982
H 0.5683 0.2914 0.9018
H 0.6225 0.5032 0.1329
H 0.6225 0.9968 0.3671
H 0.6862 0.0935 0.2402
H 0.6862 0.4065 0.2598
H 0.8138 0.5935 0.2598
H 0.8138 0.9065 0.2402
H 0.8775 0.0032 0.3671
H 0.8775 0.4968 0.1329
H 0.9317 0.7086 0.9018
H 0.9317 0.7914 0.5982
O 0.0101 0.2111 0.0431
O 0.0101 0.2889 0.4569
O 0.1074 0.0283 0.7327
O 0.1074 0.4717 0.7673
O 0.1451 0.5748 0.0166
O 0.1449 0.6783 0.3588
O 0.1449 0.8217 0.1412
O 0.1451 0.9252 0.4834
O 0.1796 0.1228 0.3084
O 0.1796 0.3772 0.1916
O 0.3204 0.6228 0.1916
O 0.3204 0.8772 0.3084
O 0.3549 0.0748 0.4834
O 0.3551 0.1783 0.1412
O 0.3551 0.3217 0.3588
O 0.3549 0.4252 0.0166
O 0.3926 0.5283 0.7673
O 0.3926 0.9717 0.7327
O 0.4899 0.7111 0.4569
O 0.4899 0.7889 0.0431
O 0.5101 0.2111 0.9569
O 0.5101 0.2889 0.5431
O 0.6074 0.0283 0.2673
O 0.6074 0.4717 0.2327
O 0.6451 0.5748 0.9834
O 0.6449 0.6783 0.6412
O 0.6449 0.8217 0.8588
O 0.6451 0.9252 0.5166
O 0.6796 0.1228 0.6916
O 0.6796 0.3772 0.8084
O 0.8204 0.6228 0.8084
O 0.8204 0.8772 0.6916
O 0.8549 0.0748 0.5166
O 0.8551 0.1783 0.8588
O 0.8551 0.3217 0.6412
O 0.8549 0.4252 0.9834
O 0.8926 0.5283 0.2327
O 0.8926 0.9717 0.2673
O 0.9899 0.7111 0.5431
O 0.9899 0.7889 0.9569

# 9
A crystal of InSiSb relaxed with PBEsol. Source: the Alexandria database, functional SCAN.

The volume comes out at 22.72 A^3/atom. The density of states at the Fermi level comes out at 1.309 states/eV/f.u. The formation energy (no corrections) is 0.4812 eV per atom.

Cell lengths 5.1331, 5.1331, 2.9868 Å; angles 90.00, 90.00, 120.00 degrees
Fractional positions:
In 0.0000 0.0000 0.0000
Si 0.3333 0.6667 0.4977
Sb 0.6667 0.3333 0.4997

# 10
A crystal of ZnHPd2 relaxed with PBEsol. Source: the Alexandria database, functional SCAN.

The volume comes out at 11.61 A^3/atom. The density of states at the Fermi level comes out at 1.307 states/eV/f.u. The calculation puts the total DFT energy (no corrections) at -20.87 eV per atom.

Cell lengths 4.9450, 4.9450, 4.9450 Å; angles 107.88, 107.88, 112.70 degrees
Fractional positions:
Zn 0.0000 0.0000 0.0000
Zn 0.7500 0.2500 0.5000
H 0.2500 0.7500 0.5000
H 0.5000 0.5000 0.0000
Pd 0.2186 0.6250 0.0936
Pd 0.3750 0.4686 0.5936
Pd 0.5314 0.1250 0.9064
Pd 0.8750 0.7814 0.4064

# 11
A crystal of CrHgBiC2 relaxed with PBEsol. Source: the Alexandria database, functional SCAN.

For the calculated formation energy, the calculation gives 1368 meV/atom. The volume comes out at 16.77 A^3/atom. The density of states at the Fermi level comes out at 1.796 states/eV/f.u.

Cell lengths 3.9310, 3.9310, 5.4269 Å; angles 90.00, 90.00, 90.00 degrees
Fractional positions:
Cr 0.0000 0.0000 0.0000
Hg 0.5000 0.5000 0.5000
Bi 0.0000 0.0000 0.5000
C 0.0000 0.5000 0.0000
C 0.5000 0.0000 0.0000

# 12
A crystal of Co3IrOs relaxed with PBEsol. Source: the Alexandria database, functional SCAN.

For the calculated formation energy, the calculation gives 1988 meV/atom. The volume comes out at 16.23 A^3/atom. The density of states at the Fermi level comes out at 6.239 states/eV/f.u.

Cell lengths 4.3292, 4.3292, 4.3292 Å; angles 90.00, 90.00, 90.00 degrees
Fractional positions:
Co 0.0000 0.0000 0.5000
Co 0.0000 0.5000 0.0000
Co 0.5000 0.0000 0.0000
Ir 0.0000 0.0000 0.0000
Os 0.5000 0.5000 0.5000

# 13
A crystal of NaSrLi2 relaxed with PBEsol. Source: the Alexandria database, functional SCAN.

For the calculated formation energy, the calculation gives 84 meV/atom. The volume comes out at 33.12 A^3/atom. The density of states at the Fermi level comes out at 2.548 states/eV/f.u.

Cell lengths 5.7223, 5.7223, 5.7223 Å; angles 60.00, 60.00, 60.00 degrees
Fractional positions:
Na 0.0000 0.0000 0.0000
Sr 0.5000 0.5000 0.5000
Li 0.2500 0.2500 0.2500
Li 0.7500 0.7500 0.7500

# 14
A crystal of OsC2 relaxed with PBEsol. Source: the Alexandria database, functional SCAN.

For the calculated formation energy, the calculation gives 1199 meV/atom. The volume comes out at 9.53 A^3/atom. The density of states at the Fermi level comes out at 1.551 states/eV/f.u.

Cell lengths 4.4268, 4.7427, 2.7226 Å; angles 90.00, 90.00, 90.00 degrees
Fractional positions:
Os 0.0000 0.0000 0.0000
Os 0.5000 0.5000 0.5000
C 0.1475 0.4459 0.0000
C 0.3525 0.9459 0.5000
C 0.6475 0.0541 0.5000
C 0.8525 0.5541 0.0000

# 15
A crystal of KTl2Cd2 relaxed with PBEsol. Source: the Alexandria database, functional SCAN.

For the calculated formation energy, the calculation gives -107 meV/atom. The volume comes out at 29.37 A^3/atom. The density of states at the Fermi level comes out at 2.619 states/eV/f.u.

Cell lengths 7.3306, 7.3306, 7.3306 Å; angles 142.22, 142.22, 54.50 degrees
Fractional positions:
K 0.0000 0.0000 0.0000
Tl 0.3849 0.3849 0.0000
Tl 0.6151 0.6151 0.0000
Cd 0.2500 0.7500 0.5000
Cd 0.7500 0.2500 0.5000

# 16
A crystal of TaNiPt2 relaxed with PBEsol. Source: the Alexandria database, functional SCAN.

For the calculated formation energy, the calculation gives -756 meV/atom. The volume comes out at 14.28 A^3/atom. The density of states at the Fermi level comes out at 1.611 states/eV/f.u.

Cell lengths 4.7401, 4.7401, 4.7401 Å; angles 132.31, 132.31, 69.73 degrees
Fractional positions:
Ta 0.0000 0.0000 0.0000
Ni 0.5000 0.5000 0.0000
Pt 0.2500 0.7500 0.5000
Pt 0.7500 0.2500 0.5000

# 17
A crystal of Cd2CuAg relaxed with PBEsol. Source: the Alexandria database, functional SCAN.

For the calculated formation energy, the calculation gives 2 meV/atom. The volume comes out at 16.73 A^3/atom. The density of states at the Fermi level comes out at 1.036 states/eV/f.u.

Cell lengths 3.1036, 3.1036, 6.9469 Å; angles 90.00, 90.00, 90.00 degrees
Fractional positions:
Cd 0.0000 0.0000 0.2300
Cd 0.0000 0.0000 0.7700
Cu 0.5000 0.5000 0.0000
Ag 0.5000 0.5000 0.5000

# 18
A crystal of YAlHg2 relaxed with PBEsol. Source: the Alexandria database, functional SCAN.

For the calculated formation energy, the calculation gives -557 meV/atom. The volume comes out at 22.14 A^3/atom. The density of states at the Fermi level comes out at 1.662 states/eV/f.u.

Cell lengths 5.7137, 5.7137, 5.7137 Å; angles 46.16, 46.16, 46.16 degrees
Fractional positions:
Y 0.0000 0.0000 0.0000
Al 0.5000 0.5000 0.5000
Hg 0.2283 0.2283 0.2283
Hg 0.7717 0.7717 0.7717

# 19
A crystal of CsMg2Tl relaxed with PBEsol. Source: the Alexandria database, functional SCAN.

For the calculated formation energy, the calculation gives 210 meV/atom. The volume comes out at 30.29 A^3/atom. The density of states at the Fermi level comes out at 1.236 states/eV/f.u.

Cell lengths 5.5543, 5.5543, 5.5543 Å; angles 60.00, 60.00, 60.00 degrees
Fractional positions:
Cs 0.0000 0.0000 0.0000
Mg 0.2500 0.2500 0.2500
Mg 0.7500 0.7500 0.7500
Tl 0.5000 0.5000 0.5000

# 20
A crystal of Zr2HgAs relaxed with PBEsol. Source: the Alexandria database, functional SCAN.

For the calculated formation energy, the calculation gives -126 meV/atom. The volume comes out at 21.34 A^3/atom. The density of states at the Fermi level comes out at 2.953 states/eV/f.u.

Cell lengths 9.5173, 9.5173, 9.5173 Å; angles 19.66, 19.66, 19.66 degrees
Fractional positions:
Zr 0.0000 0.0000 0.0000
Zr 0.2460 0.2460 0.2460
Hg 0.7526 0.7526 0.7526
As 0.5039 0.5039 0.5039